(1)
Here is a relaxed Tl3Cu2PbCl8 crystal from Alexandria via LeMat-Bulk. Energies are from PBE.

Geometry as extended XYZ:
```
14
Lattice="7.430 0.000 0.000 -3.715 6.435 0.000 0.000 0.000 9.097" Properties=species:S:1:pos:R:3 pbc="T T T"
Tl 0.000 0.000 0.000
Tl 0.000 4.290 5.762
Tl 3.715 2.145 3.334
Cu 0.000 4.290 1.752
Cu 3.715 2.145 7.344
Pb 0.000 0.000 4.548
Cl 0.000 2.215 2.808
Cl -1.797 5.327 2.808
Cl 0.000 4.290 8.655
Cl 1.918 1.107 6.289
Cl 1.797 5.327 2.808
Cl 3.715 2.145 0.441
Cl 5.512 1.107 6.289
Cl 3.715 4.220 6.289
```

Theoretical density in g cm⁻³: 4.7
Space group: P-3m1 (164)

(2)
Here is a relaxed CeDy2Os crystal from Alexandria via LeMat-Bulk. Energies are from PBE.

Geometry as extended XYZ:
```
12
Lattice="3.295 0.000 0.000 -1.648 2.854 0.000 0.000 0.000 32.582" Properties=species:S:1:pos:R:3 pbc="T T T"
Ce 0.000 0.000 0.000
Ce 0.000 1.903 21.721
Ce 1.648 0.951 10.861
Dy 0.000 0.000 3.321
Dy 0.000 0.000 29.261
Dy 0.000 1.903 18.401
Dy 0.000 1.903 25.042
Dy 1.648 0.951 7.540
Dy 1.648 0.951 14.181
Os 0.000 0.000 16.291
Os 0.000 1.903 5.430
Os 1.648 0.951 27.152
```

ΔE to the lowest computed polymorph in eV/atom: 0.495
Theoretical density in g cm⁻³: 10.7
Space group: R-3m (166)
ΔH_f (0 K) in eV per formula unit: 1.05

(3)
Here is a relaxed SrSi2Ru crystal from Alexandria via LeMat-Bulk. Energies are from PBE.

Geometry as extended XYZ:
```
12
Lattice="4.104 0.000 0.000 -2.052 3.554 0.000 0.000 0.000 16.654" Properties=species:S:1:pos:R:3 pbc="T T T"
Sr 0.000 0.000 0.000
Sr 0.000 2.369 11.103
Sr 2.052 1.185 5.551
Si 0.000 0.000 3.382
Si 0.000 0.000 13.272
Si 0.000 2.369 7.721
Si 0.000 2.369 14.484
Si 2.052 1.185 2.169
Si 2.052 1.185 8.933
Ru 0.000 0.000 8.327
Ru 0.000 2.369 2.776
Ru 2.052 1.185 13.878
```

Theoretical density in g cm⁻³: 5.0
Space group: R-3m (166)

(4)
Here is a relaxed Tl2HgW crystal from Alexandria via LeMat-Bulk. Energies are from PBE.

Geometry as extended XYZ:
```
4
Lattice="3.077 0.000 0.000 0.000 5.127 0.000 -1.515 0.000 5.678" Properties=species:S:1:pos:R:3 pbc="T T T"
Tl 0.000 0.000 0.000
Tl 0.010 2.564 3.652
Hg 1.543 0.000 2.625
W 1.535 2.564 0.907
```

ΔE to the lowest computed polymorph in eV/atom: 0.124
Theoretical density in g cm⁻³: 14.7
Space group: Pm (6)
ΔH_f (0 K) in eV per formula unit: 3.36

(5)
Here is a relaxed Li3In4Cu crystal from Alexandria via LeMat-Bulk. Energies are from PBE.

Geometry as extended XYZ:
```
8
Lattice="3.238 0.000 0.000 0.000 3.238 0.000 0.000 0.000 14.910" Properties=species:S:1:pos:R:3 pbc="T T T"
Li 0.000 0.000 0.000
Li 0.000 0.000 3.842
Li 0.000 0.000 11.068
In 1.619 1.619 1.920
In 1.619 1.619 5.745
In 1.619 1.619 9.165
In 1.619 1.619 12.990
Cu 0.000 0.000 7.455
```

Theoretical density in g cm⁻³: 5.8
Space group: P4/mmm (123)
ΔH_f (0 K) in eV per formula unit: -1.47

(6)
Here is a relaxed GaAsRh4 crystal from Alexandria via LeMat-Bulk. Energies are from PBE.

Geometry as extended XYZ:
```
12
Lattice="4.071 0.000 0.000 0.000 7.662 0.000 0.000 0.000 5.535" Properties=species:S:1:pos:R:3 pbc="T T T"
Ga 0.000 1.061 0.000
Ga 0.000 6.601 2.768
As 2.035 2.647 3.203
As 2.035 5.015 0.435
Rh 0.000 1.449 2.484
Rh 0.000 3.444 4.481
Rh 0.000 4.217 1.713
Rh 0.000 6.213 5.252
Rh 2.035 0.311 4.138
Rh 2.035 2.519 0.708
Rh 2.035 5.143 3.476
Rh 2.035 7.350 1.371
```

Theoretical density in g cm⁻³: 10.7
Space group: Pmc2_1 (26)
ΔH_f (0 K) in eV per formula unit: -2.54

(7)
Here is a relaxed AgICl crystal from Alexandria via LeMat-Bulk. Energies are from PBE.

Geometry as extended XYZ:
```
12
Lattice="12.812 0.000 0.000 0.000 3.976 0.000 -0.493 0.000 7.738" Properties=species:S:1:pos:R:3 pbc="T T T"
Ag 2.840 0.000 2.132
Ag 3.073 1.988 5.606
Ag 9.246 1.988 2.132
Ag 9.479 0.000 5.606
I 1.235 1.988 0.953
I 4.678 0.000 6.785
I 7.641 0.000 0.953
I 11.084 1.988 6.785
Cl 1.665 0.000 4.889
Cl 4.248 1.988 2.849
Cl 8.071 1.988 4.889
Cl 10.654 0.000 2.849
```

ΔE to the lowest computed polymorph in eV/atom: 0.000
Theoretical density in g cm⁻³: 4.6
Space group: C2/m (12)

(8)
Here is a relaxed Er5Tl2Sn2 crystal from Alexandria via LeMat-Bulk. Energies are from PBE.

Geometry as extended XYZ:
```
18
Lattice="7.781 -4.062 0.000 7.781 4.062 0.000 0.000 0.000 8.023" Properties=species:S:1:pos:R:3 pbc="T T T"
Er 0.000 0.000 0.000
Er 5.612 2.660 5.376
Er 5.612 1.402 1.364
Er 9.950 2.660 5.376
Er 9.950 1.402 1.364
Er 7.781 0.000 4.011
Er 5.612 -1.402 6.658
Er 5.612 -2.660 2.647
Er 9.950 -1.402 6.658
Er 9.950 -2.660 2.647
Tl 7.781 2.994 2.960
Tl 7.781 1.068 6.972
Tl 7.781 -1.068 1.051
Tl 7.781 -2.994 5.062
Sn 3.209 0.000 0.000
Sn 4.572 0.000 4.011
Sn 10.990 0.000 4.011
Sn 12.353 0.000 0.000
```

Theoretical density in g cm⁻³: 9.7
Space group: Cmce (64)
ΔH_f (0 K) in eV per formula unit: -4.50

Asked for DOS at the Fermi energy across the records above, the calculation gives 8.9, 6.9, 3.0, 2.0, 1.9, 5.6, 0.5, 6.2 states/eV/f.u. in order.
Asked for calculated volume across the records above, the calculation gives 31.07, 25.53, 20.24, 22.39, 19.54, 14.39, 32.85, 28.17 Å³ per atom in order.
Asked for energy across the records above, the calculation gives -3.233, -6.329, -5.940, -3.657, -2.783, -6.603, -2.345, -4.450 eV per atom in order.